[1]
First-principles (PBE) data for a geometry-optimized LiCe2ThHg4 structure, as listed in Alexandria.

Cell and atoms, written as POSCAR:
```
LiCe2ThHg4
1.0
5.290 0.000 0.000
2.645 4.581 0.000
2.645 1.527 8.721
Hg Th Li Ce
4 1 1 2
Cartesian
5.290 3.054 1.246 Hg
5.290 3.054 7.475 Hg
2.645 1.527 5.374 Hg
7.935 4.581 3.347 Hg
0.000 0.000 0.000 Th
5.290 3.054 4.360 Li
2.645 1.527 2.204 Ce
7.935 4.581 6.517 Ce
```

Properties
Space group: R-3m (166)
Formation enthalpy at 0 K (meV per atom): -272
DOS(E_F) (states/eV per atom): 2.123
Total magnetic moment (μB/cell): 2.8



[2]
First-principles (PBE) data for a geometry-optimized ZrTi3Os4 structure, as listed in Alexandria.

Cell and atoms, written as POSCAR:
```
ZrTi3Os4
1.0
3.140 0.000 0.000
0.000 4.455 0.000
0.000 0.000 8.891
Ti Zr Os
3 1 4
Cartesian
1.570 0.000 6.615 Ti
1.570 2.228 4.445 Ti
1.570 0.000 2.276 Ti
1.570 2.228 0.000 Zr
0.000 2.228 2.313 Os
0.000 0.000 0.000 Os
0.000 0.000 4.445 Os
0.000 2.228 6.578 Os
```

Properties
Space group: Pmmm (47)
Formation enthalpy at 0 K (meV per atom): -622
DOS(E_F) (states/eV per atom): 0.150
Total magnetic moment (μB/cell): 0.0



[3]
First-principles (PBE) data for a geometry-optimized BaAlOs2 structure, as listed in Alexandria.

Cell and atoms, written as POSCAR:
```
BaAlOs2
1.0
-9.659 -3.410 -0.051
-8.364 -5.790 1.200
-9.190 -3.477 2.896
Os Ba Al
2 1 1
Cartesian
-6.835 -3.184 1.016 Os
-26.759 -12.465 3.978 Os
-20.356 -9.482 3.026 Ba
-14.083 -6.560 2.094 Al
```

Properties
Space group: R3m (160)
Formation enthalpy at 0 K (meV per atom): 782
DOS(E_F) (states/eV per atom): 0.940
Total magnetic moment (μB/cell): 0.0